# 1
## CsOsSO (PBE)

Data for an optimized crystal structure of CsOsSO.

Values from the calculation:
total DFT energy (no corrections)	-0.213	hartree per atom
space group	P2_1/c
size of the total moment	1.00	μB per formula unit
excess energy over the best structure of this formula in the dataset	0.1824	eV/atom

```
CsOsSO
1.0
-4.924 -2.325 2.733
3.505 -3.903 2.994
1.251 7.980 8.938
Os S Cs O
4 4 4 4
Direct
0.932 0.265 0.188 Os
0.068 0.765 0.312 Os
0.068 0.735 0.812 Os
0.932 0.235 0.688 Os
0.197 0.519 0.193 S
0.803 0.019 0.307 S
0.197 0.981 0.693 S
0.803 0.481 0.807 S
0.668 0.752 0.053 Cs
0.332 0.248 0.947 Cs
0.332 0.252 0.447 Cs
0.668 0.748 0.553 Cs
0.197 0.736 0.444 O
0.803 0.264 0.556 O
0.803 0.236 0.056 O
0.197 0.764 0.944 O
```

---

# 2
## CsAgPtS3 (PBE)

Data for an optimized crystal structure of CsAgPtS3.

Values from the calculation:
total DFT energy (no corrections)	-0.151	hartree per atom
space group	Pnma
size of the total moment	0.00	μB per formula unit
excess energy over the best structure of this formula in the dataset	0.0025	eV/atom

```
CsAgPtS3
1.0
14.941 0.000 0.000
0.000 3.860 0.000
0.000 0.000 10.616
S Pt Ag Cs
12 4 4 4
Direct
0.924 0.250 0.060 S
0.076 0.750 0.940 S
0.099 0.250 0.206 S
0.901 0.750 0.794 S
0.424 0.250 0.440 S
0.576 0.750 0.560 S
0.413 0.750 0.168 S
0.599 0.250 0.294 S
0.401 0.750 0.706 S
0.913 0.750 0.332 S
0.587 0.250 0.832 S
0.087 0.250 0.668 S
0.006 0.750 0.143 Pt
0.506 0.750 0.357 Pt
0.994 0.250 0.857 Pt
0.494 0.250 0.643 Pt
0.490 0.750 0.911 Ag
0.010 0.250 0.411 Ag
0.990 0.750 0.589 Ag
0.510 0.250 0.089 Ag
0.776 0.250 0.542 Cs
0.224 0.750 0.458 Cs
0.724 0.750 0.042 Cs
0.275 0.250 0.958 Cs
```